The following is a DFT calculation (PBE) of crystalline YEr3B2Pb2 at its relaxed geometry.

Lattice parameters (Å, degrees): 3.6745 3.6745 16.5846 90.00 90.00 120.00
Closest atoms and distances in Å follow each position.
Sites, in units of the cell vectors:
1 B 0.3333 0.6667 0.0014  3 Er 2.58, 3 Y 2.61
2 B 0.3333 0.6667 0.4999  6 Er 2.58
3 Er 0.6667 0.3333 0.0899  3 B 2.58
4 Er 0.6667 0.3333 0.4118  3 B 2.58
5 Er 0.0000 0.0000 0.5879  3 B 2.58
6 Pb 0.0000 0.0000 0.2505  6 Er 3.41, 6 Pb 3.67
7 Pb 0.6667 0.3333 0.7485  3 Er 3.40, 3 Y 3.42, 6 Pb 3.67
8 Y 0.0000 0.0000 0.9101  3 B 2.61

symmetry: No. 156
E_tot: -5.34 eV per atom
M_tot: 0.1 μB/cell